MgNbHg (PBE, optimized geometry); uncorrected energy = -9.39 eV per cell; spin magnetization = 0.0074 μB per atom
1.0
2.323 1.341 3.793
-2.323 1.341 3.793
0.000 -2.682 3.793
Hg Mg Nb
1 1 1
Direct
0.250 0.250 0.250
0.750 0.750 0.750
0.000 0.000 0.000